Entry 1:
DFT (PBE) results for a relaxed structure of NaY3Ho2Te6.

Unit cell a=4.3556 b=8.7923 c=9.7951 alpha=103.17 beta=102.85 gamma=90.00
Fractional coordinates of all 12 atoms:
Na  0.5000  0.0000  0.0000
Y  0.5000  0.5000  0.0000
Y  0.8366  0.1757  0.6733
Y  0.1634  0.8243  0.3267
Ho  0.8310  0.6580  0.6621
Ho  0.1690  0.3420  0.3379
Te  0.3311  0.9145  0.6622
Te  0.6660  0.5823  0.3319
Te  0.6689  0.0855  0.3378
Te  0.0030  0.2519  0.0060
Te  0.9970  0.7481  0.9940
Te  0.3340  0.4177  0.6681

Computed properties:
V (Å³ per atom): 29.63
Total energy (eV per atom): -5.363
Symmetry: C2/m, No. 12

Entry 2:
DFT (PBE) results for a relaxed structure of NaY2HoTe4.

Unit cell a=4.3496 b=7.6200 c=7.6254 alpha=108.88 beta=90.00 gamma=90.00
Fractional coordinates of all 8 atoms:
Na  0.0000  0.0000  0.0000
Y  0.5000  0.0000  0.5000
Y  0.0000  0.5000  0.5000
Ho  0.5000  0.5000  0.0000
Te  0.5000  0.2533  0.2515
Te  0.5000  0.7467  0.7485
Te  0.0000  0.2514  0.7519
Te  0.0000  0.7486  0.2481

Computed properties:
V (Å³ per atom): 29.89
Total energy (eV per atom): -5.235
Symmetry: P2/m, No. 10

Entry 3:
DFT (PBE) results for a relaxed structure of NaHoZnTe3.

Unit cell a=4.3372 b=9.0051 c=10.4206 alpha=105.98 beta=90.00 gamma=90.00
Fractional coordinates of all 12 atoms:
Na  0.2500  0.1985  0.2065
Na  0.7500  0.8015  0.7935
Ho  0.2500  0.6743  0.1471
Ho  0.7500  0.3257  0.8529
Zn  0.2500  0.0829  0.6004
Zn  0.7500  0.9171  0.3996
Te  0.7500  0.9171  0.1446
Te  0.2500  0.0829  0.8554
Te  0.2500  0.7713  0.4654
Te  0.7500  0.2287  0.5346
Te  0.7500  0.4397  0.1595
Te  0.2500  0.5603  0.8405

Computed properties:
V (Å³ per atom): 32.61
Total energy (eV per atom): -3.741
Symmetry: P2_1/m, No. 11

Entry 4:
DFT (PBE) results for a relaxed structure of Na3HoZr2Te6.

Unit cell a=7.2665 b=7.2665 c=8.1303 alpha=98.60 beta=98.60 gamma=120.08
Fractional coordinates of all 12 atoms:
Na  0.1620  0.8380  0.5000
Na  0.8380  0.1620  0.5000
Na  0.5000  0.5000  0.5000
Ho  0.0000  0.0000  0.0000
Zr  0.3319  0.6681  0.0000
Zr  0.6681  0.3319  0.0000
Te  0.9233  0.5800  0.7714
Te  0.7316  0.7316  0.2266
Te  0.0767  0.4200  0.2286
Te  0.5800  0.9233  0.7714
Te  0.2684  0.2684  0.7734
Te  0.4200  0.0767  0.2286

Computed properties:
V (Å³ per atom): 29.54
Total energy (eV per atom): -4.728
Symmetry: C2/m, No. 12

Entry 5:
DFT (PBE) results for a relaxed structure of Na2HoZrTe4.

Unit cell a=4.2341 b=7.4018 c=8.0639 alpha=107.57 beta=90.00 gamma=90.00
Fractional coordinates of all 8 atoms:
Na  0.5000  0.0000  0.5000
Na  0.0000  0.5000  0.5000
Ho  0.0000  0.0000  0.0000
Zr  0.5000  0.5000  0.0000
Te  0.5000  0.2528  0.2310
Te  0.5000  0.7472  0.7690
Te  0.0000  0.2662  0.7737
Te  0.0000  0.7338  0.2263

Computed properties:
V (Å³ per atom): 30.12
Total energy (eV per atom): -4.628
Symmetry: P2/m, No. 10

Entry 6:
DFT (PBE) results for a relaxed structure of Na3Ho2ZrTe6.

Unit cell a=7.4679 b=7.4679 c=8.0309 alpha=98.93 beta=98.93 gamma=120.01
Fractional coordinates of all 12 atoms:
Na  0.1706  0.8294  0.5000
Na  0.8294  0.1706  0.5000
Na  0.5000  0.5000  0.5000
Ho  0.3339  0.6661  0.0000
Ho  0.6661  0.3339  0.0000
Zr  0.0000  0.0000  0.0000
Te  0.9237  0.6003  0.7707
Te  0.7541  0.7541  0.2301
Te  0.0763  0.3997  0.2293
Te  0.6003  0.9237  0.7707
Te  0.2459  0.2459  0.7699
Te  0.3997  0.0763  0.2293

Computed properties:
V (Å³ per atom): 30.72
Total energy (eV per atom): -4.527
Symmetry: C2/m, No. 12

Entry 7:
DFT (PBE) results for a relaxed structure of NaHoTh2.

Unit cell a=3.4721 b=3.4721 c=13.1498 alpha=82.41 beta=82.41 gamma=60.00
Fractional coordinates of all 4 atoms:
Na  0.0000  0.0000  0.0000
Ho  0.5000  0.5000  0.5000
Th  0.0916  0.0916  0.7252
Th  0.9084  0.9084  0.2748

Computed properties:
V (Å³ per atom): 33.92
Energy relative to the elements (eV per atom): 0.23
Total energy (eV per atom): -4.952
Symmetry: R-3m, No. 166

Entry 8:
DFT (PBE) results for a relaxed structure of NaHoTh.

Unit cell a=6.5811 b=6.6273 c=6.3582 alpha=75.11 beta=58.83 gamma=60.23
Fractional coordinates of all 6 atoms:
Th  0.7500  0.5000  0.5000
Th  0.2500  0.5000  0.5000
Na  0.8758  0.2484  0.0000
Na  0.1242  0.7516  0.0000
Ho  0.6737  0.0000  0.6526
Ho  0.3263  0.0000  0.3474

Computed properties:
V (Å³ per atom): 34.33
Energy relative to the elements (eV per atom): 0.53
Total energy (eV per atom): -3.910
Symmetry: Fmmm, No. 69